Entry 1:
First-principles (PBE) data for a geometry-optimized NpBeIr structure, as listed in OQMD via LeMat-Bulk.

As for the space group: F-43m, No. 216.

Cell: 4.3771 4.3771 4.3771 Å, 60.00 60.00 60.00°
Last column: nearest neighbours and their distance in Å.
Positions (direct):
Ir 0.5000 0.5000 0.5000  4 Np 2.68
Np 0.7500 0.7500 0.7500  4 Ir 2.68, 4 Be 2.68
Be 0.0000 0.0000 0.0000  4 Np 2.68

Entry 2:
First-principles (PBE) data for a geometry-optimized NpBeIr structure, as listed in OQMD via LeMat-Bulk.

As for the space group: F-43m, No. 216.

Cell: 4.1286 4.1286 4.1286 Å, 60.00 60.00 60.00°
Last column: nearest neighbours and their distance in Å.
Positions (direct):
Ir 0.2500 0.2500 0.2500  4 Be 2.53
Np 0.7500 0.7500 0.7500  4 Be 2.53
Be 0.0000 0.0000 0.0000  4 Np 2.53, 4 Ir 2.53

Entry 3:
First-principles (PBE) data for a geometry-optimized Be2Ir2O5 structure, as listed in OQMD via LeMat-Bulk.

As for the space group: P4/mmm, No. 123.

Cell: 6.7571 3.8433 3.8433 Å, 90.00 90.00 90.00°
Last column: nearest neighbours and their distance in Å.
Positions (direct):
O 0.1782 0.5000 0.0000  2 Ir 1.92
O 0.1782 0.0000 0.5000  2 Ir 1.92
O 0.8218 0.0000 0.5000  2 Ir 1.92
O 0.5000 0.5000 0.5000  2 Ir 2.14
O 0.8218 0.5000 0.0000  2 Ir 1.92
Be 0.5000 0.0000 0.0000  12 O 2.72-2.90
Be 0.0000 0.0000 0.0000  8 O 2.27
Ir 0.8162 0.5000 0.5000  5 O 1.92-2.14
Ir 0.1838 0.5000 0.5000  5 O 1.92-2.14

Entry 4:
First-principles (PBE) data for a geometry-optimized Be2Ir2O5 structure, as listed in OQMD via LeMat-Bulk.

As for the space group: P4/mmm, No. 123.

Cell: 7.0497 3.3464 3.3464 Å, 90.00 90.00 90.00°
Last column: nearest neighbours and their distance in Å.
Positions (direct):
Be 0.7412 0.5000 0.5000  5 O 1.70-1.77
Be 0.2588 0.5000 0.5000  5 O 1.70-1.77
Ir 0.0000 0.0000 0.0000  8 O 2.08
Ir 0.5000 0.0000 0.0000  4 O 2.37
O 0.5000 0.5000 0.5000  2 Be 1.70
O 0.1758 0.0000 0.5000  2 Be 1.77
O 0.8242 0.5000 0.0000  2 Be 1.77
O 0.8242 0.0000 0.5000  2 Be 1.77
O 0.1758 0.5000 0.0000  2 Be 1.77

Entry 5:
First-principles (PBE) data for a geometry-optimized BeIr2O4 structure, as listed in OQMD via LeMat-Bulk.

As for the space group: Fd-3m, No. 227.

Cell: 5.8239 5.8239 5.8239 Å, 120.00 90.00 120.00°
Last column: nearest neighbours and their distance in Å.
Positions (direct):
O 0.1203 0.2406 0.8797  1 Be 1.72
O 0.6297 0.7406 0.3703  1 Be 1.72
O 0.1203 0.2406 0.3608  1 Be 1.72
O 0.1203 0.7594 0.8797  1 Be 1.72
O 0.6392 0.7594 0.8797  1 Be 1.72
O 0.1108 0.7406 0.3703  1 Be 1.72
O 0.6297 0.2594 0.3703  1 Be 1.72
O 0.6297 0.2594 0.8892  1 Be 1.72
Ir 0.3750 0.2500 0.6250  6 O 2.10
Ir 0.3750 0.7500 0.6250  6 O 2.10
Ir 0.8750 0.2500 0.6250  6 O 2.10
Ir 0.3750 0.7500 0.1250  6 O 2.10
Be 0.0000 0.0000 0.0000  4 O 1.72
Be 0.7500 0.5000 0.2500  4 O 1.72

Entry 6:
First-principles (PBE) data for a geometry-optimized BePIrO structure, as listed in OQMD via LeMat-Bulk.

As for the space group: P4/nmm, No. 129.

Cell: 3.6815 3.6815 8.0978 Å, 90.00 90.00 90.00°
Last column: nearest neighbours and their distance in Å.
Positions (direct):
O 0.5000 0.5000 0.0000  4 Be 1.85
O 0.0000 0.0000 0.0000  4 Be 1.85
P 0.0000 0.5000 0.3228  4 Ir 2.33, 1 Be 2.48
P 0.5000 0.0000 0.6772  4 Ir 2.33, 1 Be 2.48
Be 0.0000 0.5000 0.0164  4 O 1.85
Be 0.5000 0.0000 0.9836  4 O 1.85
Ir 0.0000 0.0000 0.5000  4 P 2.33, 4 Ir 2.60
Ir 0.5000 0.5000 0.5000  4 P 2.33, 4 Ir 2.60

Entry 7:
First-principles (PBE) data for a geometry-optimized BePIrO structure, as listed in OQMD via LeMat-Bulk.

As for the space group: Pmc2_1, No. 26.

Cell: 2.8320 7.0632 4.8311 Å, 90.00 90.00 90.00°
Last column: nearest neighbours and their distance in Å.
Positions (direct):
O 0.5000 0.0936 0.8710  2 Be 1.51-1.52
O 0.5000 0.9064 0.3710  2 Be 1.51-1.52
Be 0.5000 0.9232 0.0583  2 O 1.51-1.52
Be 0.5000 0.0768 0.5583  2 O 1.51-1.52
P 0.0000 0.6882 0.8963  2 Ir 2.20-2.31, 2 Be 2.32
P 0.0000 0.3118 0.3963  2 Ir 2.20-2.31, 2 Be 2.32
Ir 0.0000 0.3773 0.9285  2 P 2.20-2.31
Ir 0.0000 0.6227 0.4285  2 P 2.20-2.31

Entry 8:
First-principles (PBE) data for a geometry-optimized BePIrO structure, as listed in OQMD via LeMat-Bulk.

As for the space group: P4/nmm, No. 129.

Cell: 3.4702 3.4702 7.3317 Å, 90.00 90.00 90.00°
Last column: nearest neighbours and their distance in Å.
Positions (direct):
Be 0.7500 0.2500 0.5000  4 P 2.27, 4 Be 2.45
Be 0.2500 0.7500 0.5000  4 P 2.27, 4 Be 2.45
P 0.7500 0.7500 0.3003  4 Be 2.27
P 0.2500 0.2500 0.6997  4 Be 2.27
O 0.2500 0.7500 0.0000  4 Ir 2.22, 4 O 2.45
O 0.7500 0.2500 0.0000  4 Ir 2.22, 4 O 2.45
Ir 0.7500 0.7500 0.8120  4 O 2.22
Ir 0.2500 0.2500 0.1880  4 O 2.22

Entry 9:
First-principles (PBE) data for a geometry-optimized BePIrO structure, as listed in OQMD via LeMat-Bulk.

As for the space group: Pmc2_1, No. 26.

Cell: 2.8001 5.5353 6.3874 Å, 90.00 90.00 90.00°
Last column: nearest neighbours and their distance in Å.
Positions (direct):
P 0.0000 0.7237 0.3762  1 Be 2.12
P 0.0000 0.2763 0.8762  1 Be 2.12
Be 0.0000 0.8928 0.8766  2 O 1.57
Be 0.0000 0.1072 0.3766  2 O 1.57
Ir 0.5000 0.4999 0.6257  2 O 2.16
Ir 0.5000 0.5001 0.1257  2 O 2.16
O 0.5000 0.7631 0.8755  2 Be 1.57
O 0.5000 0.2369 0.3755  2 Be 1.57

Entry 10:
First-principles (PBE) data for a geometry-optimized BeIrOs2 structure, as listed in OQMD via LeMat-Bulk.

As for the space group: F-43m, No. 216.

Cell: 4.2417 4.2417 4.2417 Å, 60.00 60.00 60.00°
Last column: nearest neighbours and their distance in Å.
Positions (direct):
Os 0.0000 0.0000 0.0000  4 Os 2.60, 4 Ir 2.60
Os 0.7500 0.7500 0.7500  4 Os 2.60, 4 Be 2.60
Be 0.5000 0.5000 0.5000  4 Os 2.60, 4 Ir 2.60
Ir 0.2500 0.2500 0.2500  4 Be 2.60, 4 Os 2.60

Entry 11:
First-principles (PBE) data for a geometry-optimized BeIrOs structure, as listed in OQMD via LeMat-Bulk.

As for the space group: F-43m, No. 216.

Cell: 4.0130 4.0130 4.0130 Å, 60.00 60.00 60.00°
Last column: nearest neighbours and their distance in Å.
Positions (direct):
Os 0.7500 0.7500 0.7500  4 Ir 2.46
Ir 0.0000 0.0000 0.0000  4 Os 2.46, 4 Be 2.46
Be 0.2500 0.2500 0.2500  4 Ir 2.46

Entry 12:
First-principles (PBE) data for a geometry-optimized BeSiIrOs structure, as listed in OQMD via LeMat-Bulk.

As for the space group: F-43m, No. 216.

Cell: 4.0782 4.0782 4.0782 Å, 60.00 60.00 60.00°
Last column: nearest neighbours and their distance in Å.
Positions (direct):
Os 0.0000 0.0000 0.0000  4 Be 2.50, 4 Si 2.50
Si 0.2500 0.2500 0.2500  4 Ir 2.50, 4 Os 2.50
Be 0.7500 0.7500 0.7500  4 Os 2.50, 4 Ir 2.50
Ir 0.5000 0.5000 0.5000  4 Be 2.50, 4 Si 2.50

Respective total DFT energy (no corrections) values: -7.6882; -8.3492; -5.6241; -6.3652; -6.7105; -6.7999; -6.5454; -5.4777; -6.5643; -8.4273; -7.6486; -7.8360 eV per atom.
Respective V values: 19.77; 16.59; 11.09; 8.77; 9.98; 13.72; 12.08; 11.04; 12.37; 13.49; 15.23; 11.99 Å³ per atom.